Record 1
Crystalline AlCrOsO6 at its relaxed geometry. Source: the Alexandria database, functional PBE with a Hubbard U.

Structure (CIF):
```
data_AlCrOsO6
_cell_length_a 4.9455
_cell_length_b 4.9455
_cell_length_c 8.6674
_cell_angle_alpha 90.00
_cell_angle_beta 90.00
_cell_angle_gamma 120.00
_symmetry_space_group_name_H-M 'P -3 1 c'
_symmetry_Int_Tables_number 163
_symmetry_space_group_name_Hall '-P 3 2c'
loop_
_atom_site_label
_atom_site_fract_x
_atom_site_fract_y
_atom_site_fract_z
Al1 0.3333 0.6667 0.2500
Cr1 0.0000 0.0000 0.0000
Os1 0.3333 0.6667 0.7500
O1 0.0050 0.3455 0.1309
```

Values from the calculation:
The value obtained for the size of the total moment is 0.108 μB/atom. As for the density: 6.6 Mg/m³. The density of states at the Fermi level comes out at 6.80 states/eV per cell. For the total energy, the calculation gives -7.516 eV/atom. As for the volume: 10.2 Å³/atom. Its crystal system is trigonal.



Record 2
Crystalline AlCr2PO at its relaxed geometry. Source: the Alexandria database, functional PBE with a Hubbard U.

Structure (CIF):
```
data_AlCr2PO
_cell_length_a 4.394
_cell_length_b 4.394
_cell_length_c 3.844
_cell_angle_alpha 90.00
_cell_angle_beta 90.00
_cell_angle_gamma 90.00
_symmetry_space_group_name_H-M 'P 4/m m m'
_symmetry_Int_Tables_number 123
_symmetry_space_group_name_Hall '-P 4 2'
loop_
_atom_site_label
_atom_site_fract_x
_atom_site_fract_y
_atom_site_fract_z
Al1 0.000 0.000 0.000
Cr1 0.000 0.500 0.500
P1 0.500 0.500 0.000
O1 0.000 0.000 0.500
```

Values from the calculation:
The value obtained for the size of the total moment is 1.638 μB/atom. As for the density: 4.0 Mg/m³. The density of states at the Fermi level comes out at 2.09 states/eV per cell. For the total energy, the calculation gives -6.178 eV/atom. As for the volume: 14.8 Å³/atom. Its crystal system is tetragonal.



Record 3
Crystalline PaAlCr2O8 at its relaxed geometry. Source: the Alexandria database, functional PBE with a Hubbard U.

Structure (CIF):
```
data_PaAlCr2O8
_cell_length_a 6.699
_cell_length_b 6.699
_cell_length_c 6.535
_cell_angle_alpha 90.00
_cell_angle_beta 90.00
_cell_angle_gamma 90.00
_symmetry_space_group_name_H-M 'I -4 m 2'
_symmetry_Int_Tables_number 119
_symmetry_space_group_name_Hall 'I -4 -2'
loop_
_atom_site_label
_atom_site_fract_x
_atom_site_fract_y
_atom_site_fract_z
Pa1 0.000 0.000 0.000
Al1 0.000 0.500 0.250
Cr1 0.000 0.000 0.500
Cr2 0.000 0.500 0.750
O1 0.000 0.204 0.314
O2 0.000 0.314 0.941
```

Values from the calculation:
The value obtained for the size of the total moment is 0.333 μB/atom. As for the density: 5.5 Mg/m³. For the total energy, the calculation gives -7.829 eV/atom. As for the volume: 12.2 Å³/atom. Its crystal system is tetragonal.



Record 4
Crystalline PaAlCr2O6 at its relaxed geometry. Source: the Alexandria database, functional PBE with a Hubbard U.

Structure (CIF):
```
data_PaAlCr2O6
_cell_length_a 5.195
_cell_length_b 5.218
_cell_length_c 5.590
_cell_angle_alpha 63.66
_cell_angle_beta 62.65
_cell_angle_gamma 60.71
_symmetry_space_group_name_H-M 'P 1'
_symmetry_Int_Tables_number 1
_symmetry_space_group_name_Hall 'P 1'
loop_
_atom_site_label
_atom_site_fract_x
_atom_site_fract_y
_atom_site_fract_z
Pa1 0.000 0.000 0.000
Al1 0.485 0.491 0.518
Cr1 0.277 0.291 0.109
Cr2 0.796 0.802 0.583
O1 0.090 0.432 0.789
O2 0.217 0.865 0.335
O3 0.420 0.669 0.796
O4 0.569 0.216 0.330
O5 0.661 0.101 0.800
O6 0.865 0.569 0.325
```

Values from the calculation:
The value obtained for the size of the total moment is 0.399 μB/atom. As for the density: 6.8 Mg/m³. The density of states at the Fermi level comes out at 0.30 states/eV per cell. For the total energy, the calculation gives -8.171 eV/atom. As for the volume: 11.3 Å³/atom. Its crystal system is triclinic.



Record 5
Crystalline Al2CrPb3O8 at its relaxed geometry. Source: the Alexandria database, functional PBE with a Hubbard U.

Structure (CIF):
```
data_Al2CrPb3O8
_cell_length_a 5.5877
_cell_length_b 5.5877
_cell_length_c 7.0291
_cell_angle_alpha 90.00
_cell_angle_beta 90.00
_cell_angle_gamma 120.00
_symmetry_space_group_name_H-M 'P -3 m 1'
_symmetry_Int_Tables_number 164
_symmetry_space_group_name_Hall '-P 3 2"'
loop_
_atom_site_label
_atom_site_fract_x
_atom_site_fract_y
_atom_site_fract_z
Al1 0.3333 0.6667 0.2311
Cr1 0.0000 0.0000 0.5000
Pb1 0.0000 0.0000 0.0000
Pb2 0.3333 0.6667 0.6784
O1 0.1621 0.3242 0.3241
O2 0.3333 0.6667 0.9854
```

Values from the calculation:
The value obtained for the size of the total moment is 0.143 μB/atom. As for the density: 7.5 Mg/m³. The density of states at the Fermi level comes out at 4.56 states/eV per cell. For the total energy, the calculation gives -6.467 eV/atom. As for the volume: 13.6 Å³/atom. Its crystal system is trigonal.



Record 6
Crystalline AlCrPbO4 at its relaxed geometry. Source: the Alexandria database, functional PBE with a Hubbard U.

Structure (CIF):
```
data_AlCrPbO4
_cell_length_a 5.407
_cell_length_b 5.685
_cell_length_c 6.741
_cell_angle_alpha 90.00
_cell_angle_beta 106.30
_cell_angle_gamma 90.00
_symmetry_space_group_name_H-M 'P 1 21/m 1'
_symmetry_Int_Tables_number 11
_symmetry_space_group_name_Hall '-P 2yb'
loop_
_atom_site_label
_atom_site_fract_x
_atom_site_fract_y
_atom_site_fract_z
Al1 0.207 0.250 0.170
Cr1 0.384 0.750 0.002
Pb1 0.216 0.750 0.454
O1 0.048 0.750 0.060
O2 0.113 0.250 0.398
O3 0.460 0.033 0.176
```

Values from the calculation:
The value obtained for the size of the total moment is 0.429 μB/atom. As for the density: 5.8 Mg/m³. The density of states at the Fermi level comes out at 0.00 states/eV per cell. For the total energy, the calculation gives -6.806 eV/atom. As for the volume: 14.2 Å³/atom. Its crystal system is monoclinic.



Record 7
Crystalline AlCr2PbO6 at its relaxed geometry. Source: the Alexandria database, functional PBE with a Hubbard U.

Structure (CIF):
```
data_AlCr2PbO6
_cell_length_a 5.2582
_cell_length_b 5.2582
_cell_length_c 13.9547
_cell_angle_alpha 90.00
_cell_angle_beta 90.00
_cell_angle_gamma 120.00
_symmetry_space_group_name_H-M 'R 3'
_symmetry_Int_Tables_number 146
_symmetry_space_group_name_Hall 'R 3'
loop_
_atom_site_label
_atom_site_fract_x
_atom_site_fract_y
_atom_site_fract_z
Al1 0.0000 0.0000 0.0000
Cr1 0.0000 0.0000 0.3075
Cr2 0.0000 0.0000 0.7959
Pb1 0.0000 0.0000 0.5280
O1 0.0018 0.3282 0.3908
O2 0.0308 0.6021 0.5696
```

Values from the calculation:
The value obtained for the size of the total moment is 0.518 μB/atom. As for the density: 6.5 Mg/m³. The density of states at the Fermi level comes out at 5.64 states/eV per cell. For the total energy, the calculation gives -7.077 eV/atom. As for the volume: 11.1 Å³/atom. Its crystal system is trigonal.



Record 8
Crystalline AlCrPb2O at its relaxed geometry. Source: the Alexandria database, functional PBE with a Hubbard U.

Structure (CIF):
```
data_AlCrPb2O
_cell_length_a 5.724
_cell_length_b 5.724
_cell_length_c 3.394
_cell_angle_alpha 90.00
_cell_angle_beta 90.00
_cell_angle_gamma 90.00
_symmetry_space_group_name_H-M 'P 4/m m m'
_symmetry_Int_Tables_number 123
_symmetry_space_group_name_Hall '-P 4 2'
loop_
_atom_site_label
_atom_site_fract_x
_atom_site_fract_y
_atom_site_fract_z
Al1 0.000 0.000 0.000
Cr1 0.500 0.500 0.500
Pb1 0.000 0.500 0.000
O1 0.000 0.000 0.500
```

Values from the calculation:
The value obtained for the size of the total moment is 0.139 μB/atom. As for the density: 7.6 Mg/m³. The density of states at the Fermi level comes out at 5.63 states/eV per cell. For the total energy, the calculation gives -4.353 eV/atom. As for the volume: 22.2 Å³/atom. Its crystal system is tetragonal.



Record 9
Crystalline PmAlCr2O6 at its relaxed geometry. Source: the Alexandria database, functional PBE with a Hubbard U.

Structure (CIF):
```
data_PmAlCr2O6
_cell_length_a 5.2579
_cell_length_b 5.2579
_cell_length_c 13.8465
_cell_angle_alpha 90.00
_cell_angle_beta 90.00
_cell_angle_gamma 120.00
_symmetry_space_group_name_H-M 'R 3'
_symmetry_Int_Tables_number 146
_symmetry_space_group_name_Hall 'R 3'
loop_
_atom_site_label
_atom_site_fract_x
_atom_site_fract_y
_atom_site_fract_z
Pm1 0.0000 0.0000 0.0000
Al1 0.0000 0.0000 0.4681
Cr1 0.0000 0.0000 0.2660
Cr2 0.0000 0.0000 0.7761
O1 0.0024 0.3253 0.8608
O2 0.0305 0.6029 0.0380
```

Values from the calculation:
The value obtained for the size of the total moment is 0.600 μB/atom. As for the density: 5.6 Mg/m³. The density of states at the Fermi level comes out at 0.00 states/eV per cell. For the total energy, the calculation gives -7.834 eV/atom. As for the volume: 11.1 Å³/atom. Its crystal system is trigonal.



Record 10
Crystalline Pm2AlCrO6 at its relaxed geometry. Source: the Alexandria database, functional PBE with a Hubbard U.

Structure (CIF):
```
data_Pm2AlCrO6
_cell_length_a 5.393
_cell_length_b 5.393
_cell_length_c 3.837
_cell_angle_alpha 90.00
_cell_angle_beta 90.00
_cell_angle_gamma 90.00
_symmetry_space_group_name_H-M 'P 4/m m m'
_symmetry_Int_Tables_number 123
_symmetry_space_group_name_Hall '-P 4 2'
loop_
_atom_site_label
_atom_site_fract_x
_atom_site_fract_y
_atom_site_fract_z
Pm1 0.000 0.500 0.000
Al1 0.000 0.000 0.500
Cr1 0.500 0.500 0.500
O1 0.000 0.000 0.000
O2 0.244 0.244 0.500
O3 0.500 0.500 0.000
```

Values from the calculation:
The value obtained for the size of the total moment is 0.300 μB/atom. As for the density: 6.9 Mg/m³. The density of states at the Fermi level comes out at 0.00 states/eV per cell. For the total energy, the calculation gives -7.957 eV/atom. As for the volume: 11.2 Å³/atom. Its crystal system is tetragonal.



Record 11
Crystalline PmAlCr2O8 at its relaxed geometry. Source: the Alexandria database, functional PBE with a Hubbard U.

Structure (CIF):
```
data_PmAlCr2O8
_cell_length_a 6.810
_cell_length_b 6.810
_cell_length_c 6.503
_cell_angle_alpha 90.00
_cell_angle_beta 90.00
_cell_angle_gamma 90.00
_symmetry_space_group_name_H-M 'I -4 m 2'
_symmetry_Int_Tables_number 119
_symmetry_space_group_name_Hall 'I -4 -2'
loop_
_atom_site_label
_atom_site_fract_x
_atom_site_fract_y
_atom_site_fract_z
Pm1 0.000 0.000 0.000
Al1 0.000 0.500 0.250
Cr1 0.000 0.000 0.500
Cr2 0.000 0.500 0.750
O1 0.000 0.215 0.323
O2 0.000 0.317 0.913
```

Values from the calculation:
The value obtained for the size of the total moment is 0.167 μB/atom. As for the density: 4.4 Mg/m³. For the total energy, the calculation gives -7.161 eV/atom. As for the volume: 12.6 Å³/atom. Its crystal system is tetragonal.



Record 12
Crystalline PrAlCr2O8 at its relaxed geometry. Source: the Alexandria database, functional PBE with a Hubbard U.

Structure (CIF):
```
data_PrAlCr2O8
_cell_length_a 5.4216
_cell_length_b 5.4216
_cell_length_c 6.5059
_cell_angle_alpha 90.00
_cell_angle_beta 90.00
_cell_angle_gamma 120.00
_symmetry_space_group_name_H-M 'P -3 m 1'
_symmetry_Int_Tables_number 164
_symmetry_space_group_name_Hall '-P 3 2"'
loop_
_atom_site_label
_atom_site_fract_x
_atom_site_fract_y
_atom_site_fract_z
Pr1 0.0000 0.0000 0.0000
Al1 0.0000 0.0000 0.5000
Cr1 0.3333 0.6667 0.2417
O1 0.1551 0.3103 0.3140
O2 0.3333 0.6667 0.9833
```

Values from the calculation:
The value obtained for the size of the total moment is 0.167 μB/atom. As for the density: 4.0 Mg/m³. The density of states at the Fermi level comes out at 7.33 states/eV per cell. For the total energy, the calculation gives -7.268 eV/atom. As for the volume: 13.8 Å³/atom. Its crystal system is trigonal.